Here is CsDyHg after structural relaxation from Alexandria via LeMat-Bulk. Energies are from PBE-GGA.

Calculated values
- E_form (kJ/mol of atoms) = 12.1
- space group = Amm2 (38)
- E (eV/cell) = -10.8

```
CsDyHg
1.0
-1.723 -1.771 3.189
-1.101 -1.057 -3.733
12.485 -12.437 -0.161
Cs Dy Hg
2 2 2
Cartesian
9.281 -11.398 -1.315
1.035 -3.184 -1.209
3.512 -6.121 1.050
6.365 -8.963 1.013
5.146 -7.304 -1.276
-1.290 -1.309 1.127
```

Here is MnAgAu after structural relaxation from Alexandria via LeMat-Bulk. Energies are from PBE-GGA.

Calculated values
- E_form (kJ/mol of atoms) = 28.9
- space group = F-43m (216)
- distance to the lowest polymorph of the same formula (eV/atom) = 0.2814
- E (eV/cell) = -14.4

```
MnAgAu
1.0
-3.161 0.074 3.145
-2.956 -3.328 0.269
0.178 -2.870 3.408
Au Mn Ag
1 1 1
Cartesian
-4.454 -4.593 5.116
0.000 0.000 0.000
-2.970 -3.062 3.411
```

Here is Sc4C3 after structural relaxation from Alexandria via LeMat-Bulk. Energies are from PBE-GGA.

Calculated values
- E_form (kJ/mol of atoms) = -46.9
- space group = I-43d (220)
- distance to the lowest polymorph of the same formula (eV/atom) = 0.0000
- E (eV/cell) = -112.8

```
Sc4C3
1.0
6.259 0.000 0.000
-2.086 5.901 0.000
-2.086 -2.950 5.110
C Sc
6 8
Cartesian
-0.522 2.582 1.916
2.608 4.795 0.639
3.651 -1.475 3.833
2.608 1.475 1.278
-2.608 1.844 4.472
0.522 -0.369 3.194
2.291 -1.185 2.053
1.471 2.950 0.000
0.205 0.290 0.502
1.248 -2.661 4.608
-2.924 3.846 2.555
4.601 2.950 0.000
1.248 1.765 3.057
-1.881 0.895 2.555
```

Here is YPb4Se after structural relaxation from Alexandria via LeMat-Bulk. Energies are from PBE-GGA.

Calculated values
- space group = F-43m (216)
- E (eV/cell) = -24.8
- raw formation energy (meV per atom) = -6

```
YPb4Se
1.0
-0.090 -5.789 -2.648
-3.712 -1.134 -5.047
2.614 -0.920 -5.732
Pb Y Se
4 1 1
Cartesian
-0.490 -5.846 -6.357
-2.311 -3.506 -7.563
0.869 -3.398 -7.907
-0.445 -2.936 -5.026
0.000 0.000 0.000
-0.892 -5.882 -10.070
```

Here is YHo2Ga after structural relaxation from Alexandria via LeMat-Bulk. Energies are from PBE-GGA.

Calculated values
- E_form (kJ/mol of atoms) = -19.5
- space group = R3m (160)
- distance to the lowest polymorph of the same formula (eV/atom) = 0.0802
- E (eV/cell) = -19.5

```
YHo2Ga
1.0
-3.465 0.906 0.425
-2.578 -2.488 -0.412
-1.398 -2.803 9.880
Y Ga Ho
1 1 2
Cartesian
-3.721 -2.191 4.937
-4.028 -1.058 0.018
-1.883 -1.011 2.101
-1.529 -2.320 7.782
```

Here is CaGe2RhO6 after structural relaxation from Alexandria via LeMat-Bulk. Energies are from PBE-GGA.

Calculated values
- space group = C2/c (15)
- E (eV/cell) = -128.7
- raw formation energy (meV per atom) = -1601

```
CaGe2RhO6
1.0
-0.545 -1.645 5.000
5.186 -4.828 -0.046
4.561 4.539 2.968
O Ge Rh Ca
12 4 2 2
Cartesian
8.104 -0.439 6.152
1.097 -1.496 1.770
3.793 -2.440 0.977
5.968 -2.966 3.064
8.498 -1.420 3.071
3.182 -1.654 3.743
0.704 -0.514 4.851
6.019 -0.281 4.180
3.375 0.364 1.627
5.826 -2.299 6.295
3.234 1.031 4.859
5.408 0.505 6.945
6.743 -1.415 2.934
2.459 -0.520 4.988
2.843 -1.360 1.953
6.359 -0.575 5.969
4.602 -3.441 4.548
4.599 1.506 3.375
4.216 2.347 6.410
4.986 -4.282 1.512
```